The following is a meta-GGA SCAN calculation of CoTcPt2I at its PBEsol-relaxed geometry, from Alexandria via LeMat-Bulk.

a b c (Å): 4.3790 4.8102 4.8102
angles (deg): 90.00 90.00 90.00
Site moments in Bohr magnetons follow the coordinates.
Element x y z (fractional)
I (0.5000, 0.5000, 0.5000)  0.00
Co (0.5000, 0.0000, 0.0000)  1.87
Tc (0.0000, 0.0000, 0.0000)  0.07
Pt (0.0000, 0.0000, 0.5000)  -0.04
Pt (0.0000, 0.5000, 0.0000)  -0.04

Theoretical density   11.0 g/cm3
Uncorrected formation energy   1321 meV/atom
Total energy   -3.2764 Ry/atom
Symmetry   P4/mmm, No. 123



The following is a meta-GGA SCAN calculation of RbCoSb2I at its PBEsol-relaxed geometry, from Alexandria via LeMat-Bulk.

a b c (Å): 4.8085 4.8085 6.9733
angles (deg): 90.00 90.00 90.00
Element x y z (fractional)
I (0.0000, 0.0000, 0.5000)
Sb (0.0000, 0.5000, 0.0000)
Sb (0.5000, 0.0000, 0.0000)
Co (0.0000, 0.0000, 0.0000)
Rb (0.5000, 0.5000, 0.5000)

Theoretical density   5.3 g/cm3
Uncorrected formation energy   -81 meV/atom
Total energy   -2.2007 Ry/atom
Symmetry   P4/mmm, No. 123



The following is a meta-GGA SCAN calculation of Co3ReI at its PBEsol-relaxed geometry, from Alexandria via LeMat-Bulk.

a b c (Å): 4.4424 4.4424 4.4424
angles (deg): 90.00 90.00 90.00
Site moments in Bohr magnetons follow the coordinates.
Element x y z (fractional)
I (0.0000, 0.0000, 0.0000)  0.00
Re (0.5000, 0.5000, 0.5000)  2.79
Co (0.0000, 0.5000, 0.0000)  1.18
Co (0.0000, 0.0000, 0.5000)  1.18
Co (0.5000, 0.0000, 0.0000)  1.18

Theoretical density   9.3 g/cm3
Uncorrected formation energy   2162 meV/atom
Total energy   -2.1894 Ry/atom
Symmetry   Pm-3m, No. 221